Record 1
Density functional theory data (GGA-PBE) for a relaxed ZrAsIr crystal. Values from VASP.

Quantum ESPRESSO input file:
```
&SYSTEM
  ibrav = 0, nat = 12, ntyp = 3
/
ATOMIC_SPECIES
As 74.92 As.upf
Zr 91.22 Zr.upf
Ir 192.22 Ir.upf
ATOMIC_POSITIONS crystal
As 0.7559 0.5000 0.0876
As 0.1198 0.0000 0.9464
As 0.1198 0.5000 0.4464
As 0.7559 0.0000 0.5876
Zr 0.2892 0.5000 0.1655
Zr 0.7922 0.5000 0.7817
Zr 0.2892 0.0000 0.6655
Zr 0.7922 0.0000 0.2817
Ir 0.3021 0.0000 0.3532
Ir 0.6324 0.5000 0.4511
Ir 0.6324 0.0000 0.9511
Ir 0.3021 0.5000 0.8532
CELL_PARAMETERS angstrom
5.4864 0.0000 -0.0291
0.0000 4.1136 0.0000
-1.5009 0.0000 9.6929
```

Calculated values
- Symmetry: Cm, No. 8
- Volume: 218.6 Å³ per cell
- E: -97.0 eV for the cell shown
- Formation energy from the elements: -732 meV per atom
- D(E_F): 0.602 states/eV per atom

=====

Record 2
Density functional theory data (GGA-PBE) for a relaxed Sn2Ge2Pb crystal. Values from VASP.

Quantum ESPRESSO input file:
```
&SYSTEM
  ibrav = 0, nat = 10, ntyp = 3
/
ATOMIC_SPECIES
Ge 72.64 Ge.upf
Sn 118.71 Sn.upf
Pb 207.20 Pb.upf
ATOMIC_POSITIONS crystal
Ge 0.8718 0.6282 0.0000
Ge 0.1282 0.3718 0.0000
Ge 0.3718 0.8718 0.0000
Ge 0.6282 0.1282 0.0000
Sn 0.3470 0.1530 0.5000
Sn 0.1530 0.6530 0.5000
Sn 0.6530 0.8470 0.5000
Sn 0.8470 0.3470 0.5000
Pb 0.0000 0.0000 0.0000
Pb 0.5000 0.5000 0.0000
CELL_PARAMETERS angstrom
-6.3004 4.4336 2.6080
-4.7173 -3.3361 -5.7246
-0.9741 -2.8248 2.4489
```

Calculated values
- Excess energy over the best structure of this formula in the dataset: 0.000 eV per formula unit
- Symmetry: P4/mbm, No. 127
- Volume: 255.6 Å³ per cell
- E: -40.3 eV for the cell shown
- Formation energy from the elements: 155 meV per atom
- D(E_F): 0.412 states/eV per atom

=====

Record 3
Density functional theory data (GGA-PBE) for a relaxed AcPuAs4 crystal. Values from VASP.

Quantum ESPRESSO input file:
```
&SYSTEM
  ibrav = 0, nat = 6, ntyp = 3
/
ATOMIC_SPECIES
As 74.92 As.upf
Pu 244.00 Pu.upf
Ac 227.00 Ac.upf
ATOMIC_POSITIONS crystal
As 0.6266 0.6266 0.1203
As 0.6266 0.6266 0.6266
As 0.6266 0.1203 0.6266
As 0.1203 0.6266 0.6266
Pu 0.0000 0.0000 0.0000
Ac 0.2500 0.2500 0.2500
CELL_PARAMETERS angstrom
-5.4010 -0.7081 -2.0412
-3.6681 -3.6350 2.6778
-4.5329 2.1099 2.9732
```

Calculated values
- Symmetry: F-43m, No. 216
- Volume: 139.2 Å³ per cell
- E: -39.6 eV for the cell shown
- Formation energy from the elements: -425 meV per atom
- D(E_F): 1.596 states/eV per atom

=====

Record 4
Density functional theory data (GGA-PBE) for a relaxed PaSnIr crystal. Values from VASP.

Quantum ESPRESSO input file:
```
&SYSTEM
  ibrav = 0, nat = 6, ntyp = 3
/
ATOMIC_SPECIES
Ir 192.22 Ir.upf
Sn 118.71 Sn.upf
Pa 231.04 Pa.upf
ATOMIC_POSITIONS crystal
Ir 0.5978 0.5978 0.2065
Ir 0.4022 0.4022 0.7935
Sn 0.8707 0.8707 0.3878
Sn 0.1293 0.1293 0.6122
Pa 0.2820 0.2820 0.1539
Pa 0.7180 0.7180 0.8461
CELL_PARAMETERS angstrom
-0.5967 3.8604 -2.9218
-4.3246 2.2460 -0.2214
0.3821 6.4661 4.3932
```

Calculated values
- Symmetry: R-3m, No. 166
- Volume: 150.5 Å³ per cell
- E: -47.1 eV for the cell shown
- Formation energy from the elements: -402 meV per atom
- D(E_F): 1.087 states/eV per atom